1.
# Nd2Er4Sc (PBE, relaxed)
data_Nd2Er4Sc
_symmetry_space_group_name_H-M 'C 1 2/c 1'
_symmetry_Int_Tables_number 15
_cell_length_a 6.6732
_cell_length_b 11.9553
_cell_length_c 11.1801
_cell_angle_alpha 90.00
_cell_angle_beta 90.06
_cell_angle_gamma 90.00
loop_
_symmetry_equiv_pos_as_xyz
'x,y,z'
'-x,-y,-z'
'-x,y,-z+1/2'
'x,-y,z+1/2'
'x+1/2,y+1/2,z'
'-x+1/2,-y+1/2,-z'
'-x+1/2,y+1/2,-z+1/2'
'x+1/2,-y+1/2,z+1/2'
loop_
_atom_site_label
_atom_site_type_symbol
_atom_site_fract_x
_atom_site_fract_y
_atom_site_fract_z
Nd1 Nd 0.0000 0.0316 0.2500
Nd2 Nd 0.0000 0.3222 0.2500
Er1 Er 0.0001 0.2229 0.5433
Er2 Er 0.2219 0.4999 0.9998
Sc1 Sc 0.0000 0.3992 0.7500
# energy relative to the lowest polymorph listed for this composition: 5 meV/atom
# energy relative to the elements: 1.35 eV/f.u.
# M_tot: 0.0 μB/f.u.
# calculated total energy: -4.681 eV/atom

***

2.
# Nd12Er3Sc (PBE, relaxed)
data_Nd12Er3Sc
_symmetry_space_group_name_H-M 'P 4/m m m'
_symmetry_Int_Tables_number 123
_symmetry_space_group_name_Hall '-P 4 2'
_cell_length_a 5.1240
_cell_length_b 5.1240
_cell_length_c 20.4481
_cell_angle_alpha 90.00
_cell_angle_beta 90.00
_cell_angle_gamma 90.00
loop_
_atom_site_label
_atom_site_type_symbol
_atom_site_fract_x
_atom_site_fract_y
_atom_site_fract_z
Nd1 Nd 0.0000 0.0000 0.0000
Nd2 Nd 0.0000 0.0000 0.2481
Nd3 Nd 0.0000 0.0000 0.5000
Nd4 Nd 0.0000 0.5000 0.1220
Nd5 Nd 0.0000 0.5000 0.3740
Er1 Er 0.5000 0.5000 0.2481
Er2 Er 0.5000 0.5000 0.5000
Sc1 Sc 0.5000 0.5000 0.0000
# energy relative to the elements: 0.32 eV/f.u.
# M_tot: 0.0 μB/f.u.
# calculated total energy: -4.807 eV/atom

***

3.
# NdEr15Sc4 (PBE, relaxed)
data_NdEr15Sc4
_symmetry_space_group_name_H-M 'P 4/m m m'
_symmetry_Int_Tables_number 123
_symmetry_space_group_name_Hall '-P 4 2'
_cell_length_a 4.9037
_cell_length_b 4.9037
_cell_length_c 24.5008
_cell_angle_alpha 90.00
_cell_angle_beta 90.00
_cell_angle_gamma 90.00
loop_
_atom_site_label
_atom_site_type_symbol
_atom_site_fract_x
_atom_site_fract_y
_atom_site_fract_z
Nd1 Nd 0.0000 0.0000 0.0000
Er1 Er 0.0000 0.5000 0.1047
Er2 Er 0.0000 0.5000 0.3024
Er3 Er 0.0000 0.5000 0.5000
Er4 Er 0.5000 0.5000 0.0000
Er5 Er 0.5000 0.5000 0.2042
Er6 Er 0.5000 0.5000 0.4013
Sc1 Sc 0.0000 0.0000 0.2032
Sc2 Sc 0.0000 0.0000 0.4013
# energy relative to the elements: 0.81 eV/f.u.
# M_tot: 0.0 μB/f.u.
# calculated total energy: -4.886 eV/atom

***

4.
# Nd8ErSc3 (PBE, relaxed)
data_Nd8ErSc3
_symmetry_space_group_name_H-M 'I m m m'
_symmetry_Int_Tables_number 71
_symmetry_space_group_name_Hall '-I 2 2'
_cell_length_a 6.7877
_cell_length_b 10.7944
_cell_length_c 11.5160
_cell_angle_alpha 90.00
_cell_angle_beta 90.00
_cell_angle_gamma 90.00
loop_
_atom_site_label
_atom_site_type_symbol
_atom_site_fract_x
_atom_site_fract_y
_atom_site_fract_z
Nd1 Nd 0.0000 0.1639 0.2481
Nd2 Nd 0.2234 0.2867 0.5000
Er1 Er 0.0000 0.0000 0.5000
Sc1 Sc 0.0000 0.0000 0.0000
Sc2 Sc 0.0000 0.5000 0.2859
# energy relative to the elements: 4.80 eV/f.u.
# M_tot: 0.0 μB/f.u.
# calculated total energy: -4.741 eV/atom

***

Please write out number 4 again, unchanged.
# Nd8ErSc3 (PBE, relaxed)
data_Nd8ErSc3
_symmetry_space_group_name_H-M 'I m m m'
_symmetry_Int_Tables_number 71
_symmetry_space_group_name_Hall '-I 2 2'
_cell_length_a 6.7877
_cell_length_b 10.7944
_cell_length_c 11.5160
_cell_angle_alpha 90.00
_cell_angle_beta 90.00
_cell_angle_gamma 90.00
loop_
_atom_site_label
_atom_site_type_symbol
_atom_site_fract_x
_atom_site_fract_y
_atom_site_fract_z
Nd1 Nd 0.0000 0.1639 0.2481
Nd2 Nd 0.2234 0.2867 0.5000
Er1 Er 0.0000 0.0000 0.5000
Sc1 Sc 0.0000 0.0000 0.0000
Sc2 Sc 0.0000 0.5000 0.2859
# energy relative to the elements: 4.80 eV/f.u.
# M_tot: 0.0 μB/f.u.
# calculated total energy: -4.741 eV/atom